Entry 1:
Material: CoIr2Br
Method: DFT, GGA-PBE
State: relaxed

The size of the total moment comes out at 1.26 μB per formula unit. As for the uncorrected formation energy: 0.7327 eV per atom. The density of states at the Fermi level comes out at 11.3 states/eV/cell.

The space group is Immm (No. 71) and the conventional cell measures 2.783, 4.052 and 11.208 Å, with angles of 90.00, 90.00 and 90.00 degrees. The distinct sites, in fractional coordinates, are Co at (0.000, 0.000, 0.000), Ir at (0.000, 0.500, 0.294) and Br at (0.000, 0.000, 0.500).

---

Entry 2:
Material: CoIrBr4
Method: DFT, GGA-PBE
State: relaxed

The size of the total moment comes out at 3.78 μB per formula unit. As for the uncorrected formation energy: 1.7971 eV per atom. The density of states at the Fermi level comes out at 43.4 states/eV/cell.

The space group is F-43m (No. 216) and the conventional cell measures 8.536, 8.536 and 8.536 Å, with angles of 90.00, 90.00 and 90.00 degrees. The distinct sites, in fractional coordinates, are Co at (0.000, 0.000, 0.000), Ir at (0.250, 0.250, 0.750) and Br at (0.124, 0.124, 0.376).

---

Entry 3:
Material: CoIr2Br
Method: DFT, GGA-PBE
State: relaxed

The size of the total moment comes out at 2.10 μB per formula unit. As for the uncorrected formation energy: 1.0414 eV per atom. The density of states at the Fermi level comes out at 12.0 states/eV/cell.

The space group is I-4m2 (No. 119) and the conventional cell measures 4.105, 4.105 and 7.213 Å, with angles of 90.00, 90.00 and 90.00 degrees. The distinct sites, in fractional coordinates, are Co at (0.000, 0.000, 0.000), Ir at (0.000, 0.000, 0.500), Ir at (0.000, 0.500, 0.750) and Br at (0.000, 0.500, 0.250).

---

Entry 4:
Material: Co2IrBr
Method: DFT, GGA-PBE
State: relaxed

The size of the total moment comes out at 4.60 μB per formula unit. As for the uncorrected formation energy: 0.7143 eV per atom. The density of states at the Fermi level comes out at 10.1 states/eV/cell.

The space group is Cmm2 (No. 35) and the conventional cell measures 2.822, 4.714 and 9.690 Å, with angles of 90.00, 90.00 and 90.00 degrees. The distinct sites, in fractional coordinates, are Co at (0.000, 0.000, 0.000), Co at (0.000, 0.500, 0.192), Ir at (0.000, 0.500, 0.786) and Br at (0.000, 0.000, 0.423).